A geometry-optimized CoAs2Se structure, computed with GGA-PBE.

Output
The calculation puts the raw formation energy at 0.10 eV/atom. As for the crystal system: tetragonal.

```
CoAs2Se
1.0
-2.8164 2.8164 5.5907
2.8164 -2.8164 5.5907
2.8164 2.8164 -5.5907
Co As Se
2 4 2
Cartesian
0.0000 0.0000 0.0000 Co
0.0000 2.8164 2.7953 Co
4.2246 1.0066 -1.3977 As
1.0066 1.4082 1.3977 As
-1.4082 1.8098 4.1930 As
1.8098 1.4082 6.9883 As
2.8164 0.0000 2.7953 Se
0.0000 0.0000 5.5907 Se
```


A geometry-optimized AcCeNi structure, computed with GGA-PBE.

Output
As for the crystal system: tetragonal. The energy relative to the elements comes out at -0.0570 eV/atom.

```
AcCeNi
1.0
-1.8188 1.8188 6.1408
1.8188 -1.8188 6.1408
1.8188 1.8188 -6.1408
Ac Ce Ni
1 1 1
Cartesian
0.0000 0.0000 0.0000 Ac
0.0000 0.0000 8.9701 Ce
0.0000 0.0000 3.9954 Ni
```